Record 1
DFT (PBE) results for a relaxed structure of Co2HPdPt. Values from VASP.

Values from the calculation:
Relative energy among the computed polymorphs, eV/atom: 0.011
V, Å³ per atom: 11.17
DOS at the Fermi energy, states/eV per cell: 5.00

```
&SYSTEM
  ibrav = 0, nat = 5, ntyp = 4
/
ATOMIC_SPECIES
Co 58.93 Co.upf
H 1.01 H.upf
Pd 106.42 Pd.upf
Pt 195.08 Pt.upf
CELL_PARAMETERS angstrom
3.831 0.000 0.000
0.000 3.831 0.000
0.000 0.000 3.806
ATOMIC_POSITIONS crystal
Co 0.000 0.500 0.000
Co 0.500 0.000 0.000
H 0.000 0.000 0.000
Pd 0.500 0.500 0.500
Pt 0.000 0.000 0.500
```


Record 2
DFT (PBE) results for a relaxed structure of PmYZr2. Values from VASP.

Values from the calculation:
Relative energy among the computed polymorphs, eV/atom: 0.085
V, Å³ per atom: 27.31
DOS at the Fermi energy, states/eV per cell: 5.51

```
&SYSTEM
  ibrav = 0, nat = 4, ntyp = 3
/
ATOMIC_SPECIES
Pm 145.00 Pm.upf
Y 88.91 Y.upf
Zr 91.22 Zr.upf
CELL_PARAMETERS angstrom
3.977 0.000 0.000
0.000 3.977 0.000
0.000 0.000 6.906
ATOMIC_POSITIONS crystal
Pm 0.000 0.000 0.000
Y 0.000 0.000 0.500
Zr 0.500 0.500 0.270
Zr 0.500 0.500 0.730
```


Record 3
DFT (PBE) results for a relaxed structure of Na3Li4I8. Values from VASP.

Values from the calculation:
Relative energy among the computed polymorphs, eV/atom: 0.011
ΔE_f (raw), kJ per mole of atoms: -101
V, Å³ per atom: 33.85
DOS at the Fermi energy, states/eV per cell: 13.01

```
&SYSTEM
  ibrav = 0, nat = 15, ntyp = 3
/
ATOMIC_SPECIES
Na 22.99 Na.upf
Li 6.94 Li.upf
I 126.90 I.upf
CELL_PARAMETERS angstrom
4.345 2.509 7.763
-4.345 2.509 7.763
0.000 -5.018 7.763
ATOMIC_POSITIONS crystal
Na 0.000 0.500 0.500
Na 0.500 0.000 0.500
Na 0.500 0.500 0.000
Li 0.000 0.000 0.000
Li 0.139 0.139 0.139
Li 0.500 0.500 0.500
Li 0.861 0.861 0.861
I 0.244 0.751 0.751
I 0.249 0.249 0.756
I 0.249 0.756 0.249
I 0.254 0.254 0.254
I 0.746 0.746 0.746
I 0.751 0.244 0.751
I 0.751 0.751 0.244
I 0.756 0.249 0.249
```


Record 4
DFT (PBE) results for a relaxed structure of DyI3Cl. Values from VASP.

Values from the calculation:
ΔE_f (raw), kJ per mole of atoms: -118
V, Å³ per atom: 39.77
DOS at the Fermi energy, states/eV per cell: 3.71

```
&SYSTEM
  ibrav = 0, nat = 10, ntyp = 3
/
ATOMIC_SPECIES
Dy 162.50 Dy.upf
I 126.90 I.upf
Cl 35.45 Cl.upf
CELL_PARAMETERS angstrom
-6.512 3.544 4.309
6.512 -3.544 4.309
6.512 3.544 -4.309
ATOMIC_POSITIONS crystal
Dy 0.248 0.250 0.498
Dy 0.752 0.750 0.502
I 0.249 0.013 0.262
I 0.249 0.487 0.736
I 0.699 0.998 0.201
I 0.751 0.513 0.264
I 0.751 0.987 0.738
I 0.798 0.498 0.799
Cl 0.220 0.001 0.719
Cl 0.282 0.501 0.281
```


Record 5
DFT (PBE) results for a relaxed structure of Ho7Te2Au2. Values from VASP.

Values from the calculation:
Relative energy among the computed polymorphs, eV/atom: 0.003
ΔE_f (raw), kJ per mole of atoms: -80
V, Å³ per atom: 27.75
DOS at the Fermi energy, states/eV per cell: 10.00

```
&SYSTEM
  ibrav = 0, nat = 11, ntyp = 3
/
ATOMIC_SPECIES
Ho 164.93 Ho.upf
Te 127.60 Te.upf
Au 196.97 Au.upf
CELL_PARAMETERS angstrom
-2.017 7.787 4.859
2.017 -7.787 4.859
2.017 7.787 -4.859
ATOMIC_POSITIONS crystal
Ho 0.000 0.000 0.000
Ho 0.286 0.413 0.873
Ho 0.305 0.622 0.683
Ho 0.540 0.413 0.127
Ho 0.620 0.260 0.360
Ho 0.901 0.260 0.640
Ho 0.938 0.622 0.317
Te 0.261 0.761 0.500
Te 0.660 0.660 0.000
Au 0.160 0.923 0.237
Au 0.687 0.923 0.763
```


Record 6
DFT (PBE) results for a relaxed structure of ZnHN. Values from VASP.

Values from the calculation:
Relative energy among the computed polymorphs, eV/atom: 0.345
V, Å³ per atom: 8.52
DOS at the Fermi energy, states/eV per cell: 0.29

```
&SYSTEM
  ibrav = 0, nat = 3, ntyp = 3
/
ATOMIC_SPECIES
Zn 65.41 Zn.upf
H 1.01 H.upf
N 14.01 N.upf
CELL_PARAMETERS angstrom
-1.561 1.561 2.622
1.561 -1.561 2.622
1.561 1.561 -2.622
ATOMIC_POSITIONS crystal
Zn 0.000 0.000 0.000
H 0.610 0.610 0.000
N 0.413 0.413 0.000
```


Record 7
DFT (PBE) results for a relaxed structure of TbHgRh. Values from VASP.

Values from the calculation:
V, Å³ per atom: 22.16
Calculated total energy, eV per atom: -4.72
DOS at the Fermi energy, states/eV per cell: 2.42

```
&SYSTEM
  ibrav = 0, nat = 6, ntyp = 3
/
ATOMIC_SPECIES
Tb 158.93 Tb.upf
Hg 200.59 Hg.upf
Rh 102.91 Rh.upf
CELL_PARAMETERS angstrom
1.893 -8.727 0.000
1.893 8.727 0.000
0.000 0.000 4.025
ATOMIC_POSITIONS crystal
Tb 0.095 0.905 0.750
Tb 0.905 0.095 0.250
Hg 0.293 0.707 0.750
Hg 0.707 0.293 0.250
Rh 0.451 0.549 0.750
Rh 0.549 0.451 0.250
```


Record 8
DFT (PBE) results for a relaxed structure of Sm2MgSe4. Values from VASP.

Values from the calculation:
Relative energy among the computed polymorphs, eV/atom: 0.044
ΔE_f (raw), kJ per mole of atoms: -157
V, Å³ per atom: 28.30
DOS at the Fermi energy, states/eV per cell: 0.00

```
&SYSTEM
  ibrav = 0, nat = 28, ntyp = 3
/
ATOMIC_SPECIES
Sm 150.36 Sm.upf
Mg 24.30 Mg.upf
Se 78.96 Se.upf
CELL_PARAMETERS angstrom
13.392 0.000 0.000
0.000 4.096 0.000
0.000 0.000 14.445
ATOMIC_POSITIONS crystal
Sm 0.119 0.250 0.074
Sm 0.136 0.250 0.704
Sm 0.364 0.750 0.204
Sm 0.381 0.750 0.574
Sm 0.619 0.250 0.426
Sm 0.636 0.250 0.796
Sm 0.864 0.750 0.296
Sm 0.881 0.750 0.926
Mg 0.108 0.750 0.463
Mg 0.392 0.250 0.963
Mg 0.608 0.750 0.037
Mg 0.892 0.250 0.537
Se 0.001 0.750 0.617
Se 0.028 0.250 0.883
Se 0.227 0.250 0.247
Se 0.235 0.250 0.514
Se 0.265 0.750 0.014
Se 0.273 0.750 0.747
Se 0.472 0.750 0.383
Se 0.499 0.250 0.117
Se 0.501 0.750 0.883
Se 0.528 0.250 0.617
Se 0.727 0.250 0.253
Se 0.735 0.250 0.986
Se 0.765 0.750 0.486
Se 0.773 0.750 0.753
Se 0.972 0.750 0.117
Se 0.999 0.250 0.383
```


Record 9
DFT (PBE) results for a relaxed structure of Pr2ErC2I2. Values from VASP.

Values from the calculation:
ΔE_f (raw), kJ per mole of atoms: -50
V, Å³ per atom: 28.74
DOS at the Fermi energy, states/eV per cell: 1.92

```
&SYSTEM
  ibrav = 0, nat = 7, ntyp = 4
/
ATOMIC_SPECIES
Pr 140.91 Pr.upf
Er 167.26 Er.upf
C 12.01 C.upf
I 126.90 I.upf
CELL_PARAMETERS angstrom
-2.254 2.254 9.898
2.254 -2.254 9.898
2.254 2.254 -9.898
ATOMIC_POSITIONS crystal
Pr 0.081 0.081 0.000
Pr 0.919 0.919 0.000
Er 0.500 0.500 0.000
C 0.000 0.500 0.500
C 0.500 0.000 0.500
I 0.336 0.336 0.000
I 0.664 0.664 0.000
```


Record 10
DFT (PBE) results for a relaxed structure of Tl3SeS4. Values from VASP.

Values from the calculation:
ΔE_f (raw), kJ per mole of atoms: -12
V, Å³ per atom: 30.54
DOS at the Fermi energy, states/eV per cell: 3.00

```
&SYSTEM
  ibrav = 0, nat = 8, ntyp = 3
/
ATOMIC_SPECIES
Tl 204.38 Tl.upf
Se 78.96 Se.upf
S 32.06 S.upf
CELL_PARAMETERS angstrom
4.353 0.000 0.000
-0.001 6.051 0.000
-2.165 -0.192 9.276
ATOMIC_POSITIONS crystal
Tl 0.000 0.000 0.000
Tl 0.158 0.583 0.316
Tl 0.791 0.194 0.579
Se 0.447 0.425 0.893
S 0.346 0.610 0.689
S 0.370 0.942 0.737
S 0.595 0.248 0.189
S 0.647 0.949 0.294
```


Record 11
DFT (PBE) results for a relaxed structure of ScBiCl6. Values from VASP.

Values from the calculation:
ΔE_f (raw), kJ per mole of atoms: -146
V, Å³ per atom: 32.16
DOS at the Fermi energy, states/eV per cell: 0.00

```
&SYSTEM
  ibrav = 0, nat = 8, ntyp = 3
/
ATOMIC_SPECIES
Sc 44.96 Sc.upf
Bi 208.98 Bi.upf
Cl 35.45 Cl.upf
CELL_PARAMETERS angstrom
3.255 -6.333 0.000
3.255 6.333 0.000
-1.858 0.000 6.239
ATOMIC_POSITIONS crystal
Sc 0.000 0.000 0.000
Bi 0.500 0.500 0.500
Cl 0.092 0.370 0.232
Cl 0.241 0.241 0.761
Cl 0.370 0.092 0.232
Cl 0.630 0.908 0.768
Cl 0.759 0.759 0.239
Cl 0.908 0.630 0.768
```


Record 12
DFT (PBE) results for a relaxed structure of KRb2TlAu. Values from VASP.

Values from the calculation:
Relative energy among the computed polymorphs, eV/atom: 0.052
V, Å³ per atom: 55.13
DOS at the Fermi energy, states/eV per cell: 3.82

```
&SYSTEM
  ibrav = 0, nat = 5, ntyp = 4
/
ATOMIC_SPECIES
K 39.10 K.upf
Rb 85.47 Rb.upf
Tl 204.38 Tl.upf
Au 196.97 Au.upf
CELL_PARAMETERS angstrom
6.595 0.000 0.000
0.000 6.595 0.000
0.000 0.000 6.338
ATOMIC_POSITIONS crystal
K 0.000 0.000 0.000
Rb 0.000 0.500 0.500
Rb 0.500 0.000 0.500
Tl 0.500 0.500 0.000
Au 0.000 0.000 0.500
```


Record 13
DFT (PBE) results for a relaxed structure of TaCd2Sb. Values from VASP.

Values from the calculation:
ΔE_f (raw), kJ per mole of atoms: 33
V, Å³ per atom: 21.50
DOS at the Fermi energy, states/eV per cell: 1.95

```
&SYSTEM
  ibrav = 0, nat = 4, ntyp = 3
/
ATOMIC_SPECIES
Ta 180.95 Ta.upf
Cd 112.41 Cd.upf
Sb 121.76 Sb.upf
CELL_PARAMETERS angstrom
2.842 -5.130 0.000
2.842 5.130 0.000
-0.900 0.000 2.950
ATOMIC_POSITIONS crystal
Ta 0.000 0.000 0.000
Cd 0.000 0.500 0.500
Cd 0.500 0.000 0.500
Sb 0.500 0.500 0.000
```


Record 14
DFT (PBE) results for a relaxed structure of Sc3Ag2C. Values from VASP.

Values from the calculation:
V, Å³ per atom: 18.25
Calculated total energy, eV per atom: -5.97
DOS at the Fermi energy, states/eV per cell: 6.25

```
&SYSTEM
  ibrav = 0, nat = 6, ntyp = 3
/
ATOMIC_SPECIES
Sc 44.96 Sc.upf
Ag 107.87 Ag.upf
C 12.01 C.upf
CELL_PARAMETERS angstrom
4.720 0.000 0.000
0.000 3.305 0.000
-2.352 0.000 7.019
ATOMIC_POSITIONS crystal
Sc 0.000 0.000 0.000
Sc 0.387 0.500 0.774
Sc 0.613 0.500 0.226
Ag 0.200 0.000 0.400
Ag 0.800 0.000 0.600
C 0.500 0.000 0.000
```


Record 15
DFT (PBE) results for a relaxed structure of Tl2NiPb. Values from VASP.

Values from the calculation:
Relative energy among the computed polymorphs, eV/atom: 0.017
V, Å³ per atom: 25.55
DOS at the Fermi energy, states/eV per cell: 2.25

```
&SYSTEM
  ibrav = 0, nat = 4, ntyp = 3
/
ATOMIC_SPECIES
Tl 204.38 Tl.upf
Ni 58.69 Ni.upf
Pb 207.20 Pb.upf
CELL_PARAMETERS angstrom
3.529 0.000 0.000
0.000 2.019 7.173
0.000 -2.019 7.173
ATOMIC_POSITIONS crystal
Tl 0.000 0.000 0.000
Tl 0.500 0.356 0.356
Ni 0.000 0.201 0.201
Pb 0.500 0.662 0.662
```


Record 16
DFT (PBE) results for a relaxed structure of Ti2V2Rh. Values from VASP.

Values from the calculation:
Relative energy among the computed polymorphs, eV/atom: 0.000
V, Å³ per atom: 14.60
DOS at the Fermi energy, states/eV per cell: 5.66

```
&SYSTEM
  ibrav = 0, nat = 5, ntyp = 3
/
ATOMIC_SPECIES
Ti 47.87 Ti.upf
V 50.94 V.upf
Rh 102.91 Rh.upf
CELL_PARAMETERS angstrom
-1.533 1.533 7.762
1.533 -1.533 7.762
1.533 1.533 -7.762
ATOMIC_POSITIONS crystal
Ti 0.103 0.103 0.000
Ti 0.897 0.897 0.000
V 0.294 0.294 0.000
V 0.706 0.706 0.000
Rh 0.500 0.500 0.000
```


Record 17
DFT (PBE) results for a relaxed structure of CsTlHg2Au2. Values from VASP.

Values from the calculation:
V, Å³ per atom: 31.00
Calculated total energy, eV per atom: -1.88
DOS at the Fermi energy, states/eV per cell: 2.39

```
&SYSTEM
  ibrav = 0, nat = 6, ntyp = 4
/
ATOMIC_SPECIES
Cs 132.91 Cs.upf
Tl 204.38 Tl.upf
Hg 200.59 Hg.upf
Au 196.97 Au.upf
CELL_PARAMETERS angstrom
5.002 0.000 0.000
-2.501 4.332 0.000
0.000 0.000 8.583
ATOMIC_POSITIONS crystal
Cs 0.000 0.000 0.000
Tl 0.000 0.000 0.500
Hg 0.333 0.667 0.703
Hg 0.667 0.333 0.297
Au 0.333 0.667 0.319
Au 0.667 0.333 0.681
```


Record 18
DFT (PBE) results for a relaxed structure of SmSi3Os2. Values from VASP.

Values from the calculation:
ΔE_f (raw), kJ per mole of atoms: -49
V, Å³ per atom: 16.66
DOS at the Fermi energy, states/eV per cell: 5.37

```
&SYSTEM
  ibrav = 0, nat = 12, ntyp = 3
/
ATOMIC_SPECIES
Sm 150.36 Sm.upf
Si 28.09 Si.upf
Os 190.23 Os.upf
CELL_PARAMETERS angstrom
4.722 -3.759 0.000
4.722 3.759 0.000
0.000 0.000 5.632
ATOMIC_POSITIONS crystal
Sm 0.161 0.839 0.750
Sm 0.839 0.161 0.250
Si 0.038 0.611 0.250
Si 0.389 0.962 0.250
Si 0.441 0.559 0.250
Si 0.559 0.441 0.750
Si 0.611 0.038 0.750
Si 0.962 0.389 0.750
Os 0.294 0.294 0.000
Os 0.294 0.294 0.500
Os 0.706 0.706 0.000
Os 0.706 0.706 0.500
```


Record 19
DFT (PBE) results for a relaxed structure of CrNiW. Values from VASP.

Values from the calculation:
Relative energy among the computed polymorphs, eV/atom: 0.088
V, Å³ per atom: 13.26
DOS at the Fermi energy, states/eV per cell: 2.98

```
&SYSTEM
  ibrav = 0, nat = 3, ntyp = 3
/
ATOMIC_SPECIES
Cr 52.00 Cr.upf
Ni 58.69 Ni.upf
W 183.84 W.upf
CELL_PARAMETERS angstrom
-1.556 1.556 4.110
1.556 -1.556 4.110
1.556 1.556 -4.110
ATOMIC_POSITIONS crystal
Cr 0.000 0.000 0.000
Ni 0.666 0.666 0.000
W 0.334 0.334 0.000
```


Record 20
DFT (PBE) results for a relaxed structure of Mg3MnI9. Values from VASP.

Values from the calculation:
ΔE_f (raw), kJ per mole of atoms: -68
V, Å³ per atom: 42.35
DOS at the Fermi energy, states/eV per cell: 2.90

```
&SYSTEM
  ibrav = 0, nat = 26, ntyp = 3
/
ATOMIC_SPECIES
Mg 24.30 Mg.upf
Mn 54.94 Mn.upf
I 126.90 I.upf
CELL_PARAMETERS angstrom
9.994 -5.187 0.000
9.994 5.187 0.000
-8.695 0.000 10.620
ATOMIC_POSITIONS crystal
Mg 0.055 0.945 0.500
Mg 0.287 0.419 0.549
Mg 0.419 0.287 0.049
Mg 0.616 0.873 0.147
Mg 0.873 0.616 0.647
Mg 0.945 0.055 0.000
Mn 0.406 0.856 0.342
Mn 0.856 0.406 0.842
I 0.038 0.368 0.496
I 0.064 0.783 0.823
I 0.107 0.922 0.189
I 0.113 0.641 0.432
I 0.141 0.390 0.864
I 0.324 0.949 0.541
I 0.368 0.038 0.996
I 0.390 0.141 0.364
I 0.452 0.517 0.278
I 0.517 0.452 0.778
I 0.527 0.694 0.152
I 0.641 0.113 0.932
I 0.691 0.828 0.517
I 0.694 0.527 0.652
I 0.783 0.064 0.323
I 0.828 0.691 0.017
I 0.922 0.107 0.689
I 0.949 0.324 0.041
```